## PmY2HfN4 (PBE-GGA)

Data for crystalline PmY2HfN4 at its relaxed geometry.

Properties
The crystal system is monoclinic. As for the total magnetization: 0.00 μB/atom. As for the total energy: -9.261 eV per atom.

a b c (Å): 5.932 3.425 5.974
angles (deg): 90.00 109.20 90.00
Space group P2/m (No. 10)
Unique sites:
Pm: 0.000 0.000 0.000 [1 per cell]
Y: 0.500 0.000 0.500 [1 per cell]
Y: 0.500 0.500 0.000 [1 per cell]
Hf: 0.000 0.500 0.500 [1 per cell]
N: 0.234 0.000 0.728 [2 per cell]
N: 0.244 0.500 0.269 [2 per cell]

## PmHfZnN3 (PBE-GGA)

Data for crystalline PmHfZnN3 at its relaxed geometry.

Properties
The crystal system is monoclinic. As for the total magnetization: 0.00 μB/atom. As for the total energy: -7.830 eV per atom.

a b c (Å): 6.938 3.320 7.415
angles (deg): 90.00 102.13 90.00
Space group P2_1/m (No. 11)
Unique sites:
Pm: 0.193 0.250 0.224 [2 per cell]
Hf: 0.340 0.750 0.858 [2 per cell]
Zn: 0.115 0.250 0.594 [2 per cell]
N: 0.132 0.250 0.868 [2 per cell]
N: 0.213 0.750 0.490 [2 per cell]
N: 0.438 0.750 0.145 [2 per cell]

## Pm3HfZr2N6 (PBE-GGA)

Data for crystalline Pm3HfZr2N6 at its relaxed geometry.

Properties
The crystal system is monoclinic. As for the total magnetization: 0.00 μB/atom. As for the total energy: -9.217 eV per atom.

a b c (Å): 5.851 10.126 6.003
angles (deg): 90.00 109.00 90.00
Space group C2/m (No. 12)
Unique sites:
Pm: 0.000 0.000 0.000 [2 per cell]
Pm: 0.000 0.333 0.000 [4 per cell]
Hf: 0.000 0.500 0.500 [2 per cell]
Zr: 0.000 0.166 0.500 [4 per cell]
N: 0.236 0.336 0.716 [8 per cell]
N: 0.244 0.000 0.717 [4 per cell]

## Pm2HfZrN4 (PBE-GGA)

Data for crystalline Pm2HfZrN4 at its relaxed geometry.

Properties
The crystal system is monoclinic. As for the total magnetization: 0.00 μB/atom. As for the total energy: -9.284 eV per atom.

a b c (Å): 5.827 3.370 6.007
angles (deg): 90.00 108.93 90.00
Space group P2/m (No. 10)
Unique sites:
Pm: 0.000 0.000 0.000 [1 per cell]
Pm: 0.500 0.500 0.000 [1 per cell]
Hf: 0.000 0.500 0.500 [1 per cell]
Zr: 0.500 0.000 0.500 [1 per cell]
N: 0.234 0.000 0.714 [2 per cell]
N: 0.257 0.500 0.284 [2 per cell]

## PmHfZr2N4 (PBE-GGA)

Data for crystalline PmHfZr2N4 at its relaxed geometry.

Properties
The crystal system is orthorhombic. As for the total magnetization: 0.00 μB/atom. As for the total energy: -9.745 eV per atom.

a b c (Å): 6.645 6.678 9.419
angles (deg): 90.00 90.00 90.00
Space group Imma (No. 74)
Unique sites:
Pm: 0.250 0.250 0.250 [4 per cell]
Hf: 0.000 0.000 0.000 [4 per cell]
Zr: 0.000 0.000 0.500 [4 per cell]
Zr: 0.250 0.250 0.750 [4 per cell]
N: 0.000 0.019 0.755 [8 per cell]
N: 0.240 0.250 0.991 [8 per cell]

## PrHfN2 (PBE-GGA)

Data for crystalline PrHfN2 at its relaxed geometry.

Properties
The crystal system is orthorhombic. As for the total magnetization: 0.08 μB/atom. As for the total energy: -9.046 eV per atom.

a b c (Å): 6.395 3.438 13.406
angles (deg): 90.00 90.00 90.00
Space group Pnma (No. 62)
Unique sites:
Pr: 0.222 0.250 0.195 [4 per cell]
Hf: 0.166 0.250 0.940 [4 per cell]
N: 0.092 0.250 0.791 [4 per cell]
N: 0.165 0.750 0.031 [4 per cell]

## Pr2HfN3 (PBE-GGA)

Data for crystalline Pr2HfN3 at its relaxed geometry.

Properties
The crystal system is tetragonal. As for the total magnetization: 0.00 μB/atom. As for the total energy: -8.759 eV per atom.

a b c (Å): 3.543 3.543 15.003
angles (deg): 90.00 90.00 90.00
Space group I4/mmm (No. 139)
Unique sites:
Pr: 0.000 0.000 0.161 [4 per cell]
Hf: 0.000 0.000 0.500 [2 per cell]
N: 0.000 0.000 0.000 [2 per cell]
N: 0.000 0.000 0.354 [4 per cell]

## PrHf3N4 (PBE-GGA)

Data for crystalline PrHf3N4 at its relaxed geometry.

Properties
The crystal system is hexagonal. As for the total magnetization: 0.00 μB/atom. As for the total energy: -10.147 eV per atom.

a b c (Å): 3.2758 3.2758 22.2126
angles (deg): 90.00 90.00 120.00
Space group P6_3/mmc (No. 194)
Unique sites:
Pr: 0.3333 0.6667 0.2500 [2 per cell]
Hf: 0.0000 0.0000 0.0000 [2 per cell]
Hf: 0.3333 0.6667 0.6180 [4 per cell]
N: 0.0000 0.0000 0.1694 [4 per cell]
N: 0.3333 0.6667 0.0583 [4 per cell]

## Pr4HfN5 (PBE-GGA)

Data for crystalline Pr4HfN5 at its relaxed geometry.

Properties
The crystal system is tetragonal. As for the total magnetization: 0.00 μB/atom. As for the total energy: -8.456 eV per atom.

a b c (Å): 7.986 7.986 5.193
angles (deg): 90.00 90.00 90.00
Space group I4 (No. 79)
Unique sites:
Pr: 0.104 0.700 0.000 [8 per cell]
Hf: 0.000 0.000 0.539 [2 per cell]
N: 0.000 0.000 0.936 [2 per cell]
N: 0.091 0.728 0.500 [8 per cell]

## PrHf4N6 (PBE-GGA)

Data for crystalline PrHf4N6 at its relaxed geometry.

Properties
The crystal system is orthorhombic. As for the total magnetization: 0.00 μB/atom. As for the total energy: -10.303 eV per atom.

a b c (Å): 3.222 10.682 16.498
angles (deg): 90.00 90.00 90.00
Space group Cmcm (No. 63)
Unique sites:
Pr: 0.000 0.150 0.250 [4 per cell]
Hf: 0.000 0.105 0.635 [8 per cell]
Hf: 0.000 0.369 0.547 [8 per cell]
N: 0.000 0.000 0.000 [4 per cell]
N: 0.000 0.178 0.750 [4 per cell]
N: 0.000 0.270 0.081 [8 per cell]
N: 0.000 0.468 0.654 [8 per cell]

## Pr2HfN (PBE-GGA)

Data for crystalline Pr2HfN at its relaxed geometry.

Properties
The crystal system is trigonal. As for the total magnetization: 0.00 μB/atom. As for the total energy: -7.188 eV per atom.

a b c (Å): 3.4735 3.4735 28.2550
angles (deg): 90.00 90.00 120.00
Space group R-3m (No. 166, hexagonal axes)
Unique sites:
Pr: 0.0000 0.0000 0.1152 [6 per cell]
Hf: 0.0000 0.0000 0.0000 [3 per cell]
N: 0.0000 0.0000 0.5000 [3 per cell]

## PrHfN2 (PBE-GGA)

Data for crystalline PrHfN2 at its relaxed geometry.

Properties
The crystal system is trigonal. As for the total magnetization: 0.02 μB/atom. As for the total energy: -9.263 eV per atom.

a b c (Å): 3.3173 3.3173 18.0273
angles (deg): 90.00 90.00 120.00
Space group R3m (No. 160, hexagonal axes)
Unique sites:
Pr: 0.0000 0.0000 0.0000 [3 per cell]
Hf: 0.0000 0.0000 0.1726 [3 per cell]
N: 0.0000 0.0000 0.5721 [3 per cell]
N: 0.0000 0.0000 0.7712 [3 per cell]